Density functional theory data (PBE) for an optimized crystal structure of Er4CuTeSe2.

Cell lengths 3.9953, 7.2468, 7.1765 Å; angles 71.95, 90.00, 90.00 degrees
Fractional positions:
Er  0.0000  0.7592  0.7284
Er  0.0000  0.2408  0.2716
Er  0.5000  0.7412  0.2717
Er  0.5000  0.2588  0.7283
Cu  0.0000  0.5000  0.5000
Te  0.5000  0.5000  0.0000
Se  0.0000  0.0000  0.0000
Se  0.5000  0.0000  0.5000

Total magnetization = 0.00 μB/atom
Raw formation energy = -1193 meV/atom
Density = 8.56 g/cm³
Space-group type = No. 10